## BaHfS3 (PBE-GGA)

Data for crystalline BaHfS3 at its relaxed geometry. Values from VASP.

The structure in Quantum ESPRESSO input format:
```
&SYSTEM
  ibrav = 0, nat = 20, ntyp = 3
/
ATOMIC_SPECIES
Ba 137.33 Ba.upf
Hf 178.49 Hf.upf
S 32.06 S.upf
ATOMIC_POSITIONS angstrom
Ba 0.837 1.489 1.604
Ba 0.213 1.810 6.579
Ba 6.468 4.788 3.372
Ba 5.844 5.110 8.347
Hf 3.228 4.938 0.483
Hf 2.604 4.960 5.458
Hf 4.077 1.638 4.492
Hf 3.453 1.661 9.468
S 0.867 4.642 1.079
S 0.243 5.256 6.055
S 1.291 0.412 9.193
S 1.915 2.887 4.218
S 2.496 3.756 8.310
S 3.120 6.142 3.335
S 3.562 0.456 6.616
S 4.186 2.843 1.641
S 4.766 3.711 5.733
S 5.390 6.187 0.757
S 6.438 1.343 3.896
S 5.814 1.956 8.872
CELL_PARAMETERS angstrom
7.929 0.000 0.000
0.000 6.599 0.000
-1.248 0.000 9.951
```

Summary:
* volume: 26.0 Å³/atom
* formation energy from raw total energies: -1.79 eV per atom
* VASP energy: -132.77 eV for the cell shown
* space-group type: P2_1/c, No. 14